Here is crystalline Tm2ThNi2 at its relaxed geometry from Alexandria. Energies are from PBE.

Geometry as POSCAR:
```
Tm2ThNi2
1.0
-0.557 2.347 3.397
-4.878 -2.241 0.748
0.143 -9.367 6.495
Ni Tm Th
4 4 2
direct
0.250 0.637 0.632
0.750 0.624 0.022
0.750 0.363 0.368
0.250 0.376 0.978
0.250 0.213 0.545
0.750 0.043 0.115
0.250 0.957 0.885
0.750 0.787 0.455
0.250 0.471 0.206
0.750 0.529 0.794
```

Mass density   9.708 g/cm3
M_tot   0.0 μB per cell
E_form   -0.33 eV per atom
Energy above the most stable polymorph in this dataset   0.0352 eV/atom